## MgMn2CrB (PBE)

Data for a geometry-optimized MgMn2CrB structure.

a = 3.914 Å, b = 4.234 Å, c = 3.914 Å
α = 90.00°, β = 90.00°, γ = 90.00°
Each line ends with the local moment (μB).
Element x y z (fractional)
1 Mn 0.000 0.000 0.500  1.57
2 Mn 0.500 0.000 0.000  1.40
3 B 0.000 0.000 0.000  -0.11
4 Cr 0.500 0.500 0.500  2.78
5 Mg 0.000 0.500 0.000  -0.03

Properties
N(E_F), states/eV/f.u.: 6.4
Energy of formation from the pure elements, kJ/mol of atoms: 48.1
Total magnetization, μB per formula unit: 5.9
Volume, Å³ per atom: 12.98